No. 1
Ba2InPdPb6 after structural relaxation, computed with PBE.

Total magnetization in μB/cell: 0.0
Uncorrected energy in eV/atom: -3.639
Space-group type: R-3m (166)
Formation energy from the elements in kJ per mole of atoms: -23

Lattice parameters (Å, degrees): 7.5541 7.5541 14.6074 75.01 75.01 60.00
Fractional coordinates of all 20 atoms:
Pb 0.7803 0.7803 0.1041
Ba 0.1120 0.1120 0.6640
Pb 0.3388 0.3388 0.4063
Pd 0.5000 0.5000 0.5000
Pd 0.0000 0.0000 0.0000
Pb 0.6612 0.6612 0.5937
Pb 0.2197 0.6646 0.8959
Pb 0.6646 0.2197 0.8959
Pb 0.7803 0.3354 0.1041
Ba 0.8880 0.8880 0.3360
Pb 0.3388 0.9161 0.4063
Pb 0.0839 0.6612 0.5937
In 0.5728 0.5728 0.2816
Ba 0.2846 0.2846 0.1462
Pb 0.6612 0.0839 0.5937
Ba 0.7154 0.7154 0.8538
Pb 0.3354 0.7803 0.1041
Pb 0.2197 0.2197 0.8959
In 0.4272 0.4272 0.7184
Pb 0.9161 0.3388 0.4063

---

No. 2
Ba2InPd4Pb3 after structural relaxation, computed with PBE.

Total magnetization in μB/cell: 0.0
Uncorrected energy in eV/atom: -4.370
Space-group type: P-4m2 (115)
Formation energy from the elements in kJ per mole of atoms: -50

Lattice parameters (Å, degrees): 4.9393 4.9393 10.8640 90.00 90.00 90.00
Fractional coordinates of all 10 atoms:
Pd 0.0000 0.0000 0.0000
Pb 0.0000 0.5000 0.1178
Pd 0.5000 0.5000 0.0000
Pb 0.0000 0.0000 0.5000
Ba 0.5000 0.0000 0.2431
In 0.5000 0.5000 0.5000
Pd 0.5000 0.0000 0.6257
Pb 0.5000 0.0000 0.8822
Ba 0.0000 0.5000 0.7569
Pd 0.0000 0.5000 0.3743

---

No. 3
BaInPdPb after structural relaxation, computed with PBE.

Total magnetization in μB/cell: 0.0
Uncorrected energy in eV/atom: -3.885
Space-group type: R3m (160)
Formation energy from the elements in kJ per mole of atoms: -48

Lattice parameters (Å, degrees): 4.7873 4.7873 6.7687 69.29 69.29 60.00
Fractional coordinates of all 4 atoms:
Pd 0.6263 0.6263 0.1210
Ba 0.8118 0.8118 0.5645
In 0.2677 0.2677 0.1968
Pb 0.0200 0.0200 0.9401

---

No. 4
BaInPd3Pb after structural relaxation, computed with PBE.

Total magnetization in μB/cell: 0.0
Uncorrected energy in eV/atom: -4.347
Space-group type: Cmcm (63)
Formation energy from the elements in kJ per mole of atoms: -34

Lattice parameters (Å, degrees): 6.7036 6.9246 7.4597 117.65 90.00 90.00
Fractional coordinates of all 12 atoms:
Ba 0.7500 0.3005 0.6010
Pd 0.5000 0.7096 0.0000
Pd 0.0000 0.7096 0.0000
Pb 0.7500 0.6282 0.2564
In 0.7500 0.0393 0.0786
Pd 0.2500 0.1642 0.3284
Pd 0.0000 0.2904 0.0000
Ba 0.2500 0.6995 0.3990
Pd 0.5000 0.2904 0.0000
Pb 0.2500 0.3718 0.7436
In 0.2500 0.9607 0.9214
Pd 0.7500 0.8358 0.6716

---

No. 5
Ba2InPdPb after structural relaxation, computed with PBE.

Total magnetization in μB/cell: 0.0
Uncorrected energy in eV/atom: -3.523
Space-group type: P4/mmm (123)
Formation energy from the elements in kJ per mole of atoms: -41

Lattice parameters (Å, degrees): 6.0548 5.2198 6.0548 90.00 90.00 90.00
Fractional coordinates of all 5 atoms:
Ba 0.0000 0.0000 0.5000
Pb 0.5000 0.5000 0.5000
Ba 0.5000 0.0000 0.0000
Pd 0.0000 0.0000 0.0000
In 0.0000 0.5000 0.0000

---

No. 6
BaInPd2Pb2 after structural relaxation, computed with PBE.

Total magnetization in μB/cell: 0.0
Uncorrected energy in eV/atom: -4.058
Space-group type: P4/mmm (123)
Formation energy from the elements in kJ per mole of atoms: -30

Lattice parameters (Å, degrees): 5.0872 5.0872 6.7629 90.00 90.00 90.00
Fractional coordinates of all 6 atoms:
Pd 0.5000 0.0000 0.0000
In 0.0000 0.0000 0.0000
Pb 0.5000 0.5000 0.2428
Pb 0.5000 0.5000 0.7572
Ba 0.0000 0.0000 0.5000
Pd 0.0000 0.5000 0.0000

---

No. 7
Ba2In4Pd3Pb after structural relaxation, computed with PBE.

Total magnetization in μB/cell: 0.0
Uncorrected energy in eV/atom: -3.911
Space-group type: P-4m2 (115)
Formation energy from the elements in kJ per mole of atoms: -48

Lattice parameters (Å, degrees): 4.8176 4.8176 11.6021 90.00 90.00 90.00
Fractional coordinates of all 10 atoms:
Ba 0.0000 0.5000 0.7541
Pd 0.5000 0.0000 0.8812
Ba 0.5000 0.0000 0.2459
In 0.5000 0.0000 0.6471
In 0.0000 0.5000 0.3529
Pd 0.0000 0.0000 0.5000
In 0.5000 0.5000 0.0000
Pd 0.0000 0.5000 0.1188
Pb 0.5000 0.5000 0.5000
In 0.0000 0.0000 0.0000

---

No. 8
Ba2InPt4Pb3 after structural relaxation, computed with PBE.

Total magnetization in μB/cell: 0.0
Uncorrected energy in eV/atom: -4.740
Space-group type: P-4m2 (115)
Formation energy from the elements in kJ per mole of atoms: -53

Lattice parameters (Å, degrees): 4.9491 4.9491 10.8235 90.00 90.00 90.00
Fractional coordinates of all 10 atoms:
Pb 0.0000 0.0000 0.5000
Pb 0.5000 0.0000 0.8798
Ba 0.0000 0.5000 0.7580
In 0.5000 0.5000 0.5000
Pb 0.0000 0.5000 0.1202
Pt 0.5000 0.0000 0.6221
Pt 0.5000 0.5000 0.0000
Ba 0.5000 0.0000 0.2420
Pt 0.0000 0.0000 0.0000
Pt 0.0000 0.5000 0.3779